# 1
## SrIrOs (GGA-PBE)

Data for crystalline SrIrOs at its relaxed geometry.

```
SrIrOs
1.0
2.919 0.000 0.000
-1.459 2.528 0.000
0.000 0.000 7.541
Sr Ir Os
1 1 1
Direct
0.000 0.000 0.000
0.667 0.333 0.363
0.333 0.667 0.633
```

Calculated values
Energy above the most stable polymorph in this dataset ... 0.873 eV/atom
Formation enthalpy at 0 K ... 21.87 kcal/mol of atoms
DOS(E_F) ... 4.0 states/eV/f.u.
Total energy ... -6.309 eV per atom
ρ ... 14.03 g/cm³



# 2
## Sc3TcO (GGA-PBE)

Data for crystalline Sc3TcO at its relaxed geometry.

```
Sc3TcO
1.0
6.087 0.000 0.000
0.000 8.798 0.000
0.000 0.000 6.087
Sc Tc O
12 4 4
Direct
0.000 0.250 0.001
0.000 0.750 0.999
0.188 0.000 0.312
0.188 0.500 0.312
0.312 0.000 0.812
0.312 0.500 0.812
0.500 0.250 0.499
0.500 0.750 0.501
0.688 0.000 0.188
0.688 0.500 0.188
0.812 0.000 0.688
0.812 0.500 0.688
0.000 0.250 0.500
0.000 0.750 0.500
0.500 0.250 0.000
0.500 0.750 0.000
0.000 0.000 0.000
0.000 0.500 0.000
0.500 0.000 0.500
0.500 0.500 0.500
```

Calculated values
Energy above the most stable polymorph in this dataset ... 0.009 eV/atom
DOS(E_F) ... 1.4 states/eV/f.u.
Total energy ... -8.178 eV per atom
Formation energy from raw total energies ... -1.3138 eV/atom
ρ ... 5.07 g/cm³



# 3
## LiTaInRu (GGA-PBE)

Data for crystalline LiTaInRu at its relaxed geometry.

```
LiTaInRu
1.0
6.357 0.000 0.000
0.000 6.357 0.000
0.000 0.000 6.357
Li Ta In Ru
4 4 4 4
Direct
0.000 0.000 0.000
0.000 0.500 0.500
0.500 0.000 0.500
0.500 0.500 0.000
0.250 0.250 0.750
0.250 0.750 0.250
0.750 0.250 0.250
0.750 0.750 0.750
0.250 0.250 0.250
0.250 0.750 0.750
0.750 0.250 0.750
0.750 0.750 0.250
0.000 0.000 0.500
0.000 0.500 0.000
0.500 0.000 0.000
0.500 0.500 0.500
```

Calculated values
Formation enthalpy at 0 K ... -3.00 kcal/mol of atoms
DOS(E_F) ... 4.2 states/eV/f.u.
Total energy ... -6.575 eV per atom
ρ ... 10.44 g/cm³



# 4
## NbVSb (GGA-PBE)

Data for crystalline NbVSb at its relaxed geometry.

```
NbVSb
1.0
7.129 0.000 0.000
0.000 5.490 0.000
-1.952 0.000 5.975
Nb V Sb
4 4 4
Direct
0.225 0.114 0.077
0.225 0.386 0.577
0.775 0.614 0.423
0.775 0.886 0.923
0.040 0.639 0.822
0.040 0.861 0.322
0.960 0.139 0.678
0.960 0.361 0.178
0.334 0.600 0.212
0.334 0.900 0.712
0.666 0.100 0.288
0.666 0.400 0.788
```

Calculated values
DOS(E_F) ... 1.6 states/eV/f.u.
Total energy ... -7.829 eV per atom
Formation energy from raw total energies ... -0.0584 eV/atom
ρ ... 7.54 g/cm³



# 5
## Ag12H5Pd3 (GGA-PBE)

Data for crystalline Ag12H5Pd3 at its relaxed geometry.

```
Ag12H5Pd3
1.0
-6.697 6.697 6.697
6.697 -6.697 6.697
6.697 6.697 -6.697
Ag H Pd
48 20 12
Direct
0.007 0.194 0.101
0.007 0.312 0.906
0.093 0.694 0.688
0.093 0.899 0.406
0.094 0.601 0.407
0.094 0.993 0.688
0.101 0.007 0.194
0.101 0.594 0.907
0.188 0.194 0.593
0.188 0.493 0.594
0.194 0.101 0.007
0.194 0.593 0.188
0.306 0.312 0.907
0.306 0.493 0.399
0.312 0.906 0.007
0.312 0.907 0.306
0.399 0.306 0.493
0.399 0.593 0.906
0.406 0.093 0.899
0.406 0.812 0.507
0.407 0.094 0.601
0.407 0.812 0.806
0.493 0.399 0.306
0.493 0.594 0.188
0.507 0.406 0.812
0.507 0.601 0.694
0.593 0.188 0.194
0.593 0.906 0.399
0.594 0.188 0.493
0.594 0.907 0.101
0.601 0.407 0.094
0.601 0.694 0.507
0.688 0.093 0.694
0.688 0.094 0.993
0.694 0.507 0.601
0.694 0.688 0.093
0.806 0.407 0.812
0.806 0.899 0.993
0.812 0.507 0.406
0.812 0.806 0.407
0.899 0.406 0.093
0.899 0.993 0.806
0.906 0.007 0.312
0.906 0.399 0.593
0.907 0.101 0.594
0.907 0.306 0.312
0.993 0.688 0.094
0.993 0.806 0.899
0.000 0.000 0.000
0.000 0.000 0.500
0.000 0.500 0.000
0.000 0.500 0.500
0.125 0.750 0.875
0.125 0.875 0.250
0.250 0.125 0.875
0.250 0.625 0.375
0.375 0.250 0.625
0.375 0.625 0.750
0.500 0.000 0.000
0.500 0.000 0.500
0.500 0.500 0.000
0.500 0.500 0.500
0.625 0.375 0.250
0.625 0.750 0.375
0.750 0.375 0.625
0.750 0.875 0.125
0.875 0.125 0.750
0.875 0.250 0.125
0.125 0.250 0.375
0.125 0.375 0.750
0.250 0.375 0.125
0.250 0.875 0.625
0.375 0.125 0.250
0.375 0.750 0.125
0.625 0.250 0.875
0.625 0.875 0.750
0.750 0.125 0.375
0.750 0.625 0.875
0.875 0.625 0.250
0.875 0.750 0.625
```

Calculated values
DOS(E_F) ... 2.7 states/eV/f.u.
Total energy ... -3.057 eV per atom
ρ ... 8.95 g/cm³



# 6
## Si2GeO (GGA-PBE)

Data for crystalline Si2GeO at its relaxed geometry.

```
Si2GeO
1.0
4.533 0.000 0.000
0.000 4.533 0.000
0.000 0.000 12.123
Si Ge O
8 4 4
Direct
0.146 0.250 0.125
0.250 0.646 0.375
0.250 0.854 0.875
0.354 0.250 0.625
0.646 0.750 0.625
0.750 0.146 0.875
0.750 0.354 0.375
0.854 0.750 0.125
0.000 0.000 0.500
0.000 0.500 0.750
0.500 0.000 0.250
0.500 0.500 0.000
0.000 0.000 0.000
0.000 0.500 0.250
0.500 0.000 0.750
0.500 0.500 0.500
```

Calculated values
Energy above the most stable polymorph in this dataset ... 0.000 eV/atom
DOS(E_F) ... 0.9 states/eV/f.u.
Total energy ... -5.314 eV per atom
Formation energy from raw total energies ... -0.2083 eV/atom
ρ ... 3.86 g/cm³



# 7
## BiPtIO2 (GGA-PBE)

Data for crystalline BiPtIO2 at its relaxed geometry.

```
BiPtIO2
1.0
4.320 0.000 0.000
0.000 4.320 0.000
0.000 0.000 5.205
Bi Pt I O
1 1 1 2
Direct
0.000 0.000 0.000
0.500 0.500 0.500
0.500 0.500 0.000
0.000 0.500 0.500
0.500 0.000 0.500
```

Calculated values
Energy above the most stable polymorph in this dataset ... 0.232 eV/atom
DOS(E_F) ... 4.3 states/eV/f.u.
Total energy ... -3.962 eV per atom
Formation energy from raw total energies ... 0.3152 eV/atom
ρ ... 9.62 g/cm³



# 8
## Co2ReBiC (GGA-PBE)

Data for crystalline Co2ReBiC at its relaxed geometry.

```
Co2ReBiC
1.0
4.025 0.000 0.000
0.000 4.025 0.000
0.000 0.000 4.127
Co Re Bi C
2 1 1 1
Direct
0.000 0.500 0.000
0.500 0.000 0.000
0.000 0.000 0.500
0.500 0.500 0.500
0.000 0.000 0.000
```

Calculated values
Formation enthalpy at 0 K ... 11.64 kcal/mol of atoms
DOS(E_F) ... 4.5 states/eV/f.u.
Total energy ... -7.448 eV per atom
ρ ... 13.05 g/cm³



# 9
## CrAu (GGA-PBE)

Data for crystalline CrAu at its relaxed geometry.

```
CrAu
1.0
7.705 0.000 0.000
0.000 7.705 0.000
0.000 0.000 7.705
Cr Au
8 8
Direct
0.103 0.103 0.103
0.103 0.897 0.897
0.397 0.397 0.603
0.397 0.603 0.397
0.603 0.397 0.397
0.603 0.603 0.603
0.897 0.103 0.897
0.897 0.897 0.103
0.208 0.208 0.792
0.208 0.792 0.208
0.292 0.292 0.292
0.292 0.708 0.708
0.708 0.292 0.708
0.708 0.708 0.292
0.792 0.208 0.208
0.792 0.792 0.792
```

Calculated values
Formation enthalpy at 0 K ... 26.57 kcal/mol of atoms
DOS(E_F) ... 1.8 states/eV/f.u.
Total energy ... -5.298 eV per atom
ρ ... 7.23 g/cm³



# 10
## Zn2AgOs (GGA-PBE)

Data for crystalline Zn2AgOs at its relaxed geometry.

```
Zn2AgOs
1.0
2.724 0.000 0.000
0.000 2.724 0.000
0.000 0.000 8.214
Zn Ag Os
2 1 1
Direct
0.000 0.000 0.000
0.500 0.500 0.245
0.000 0.000 0.500
0.500 0.500 0.769
```

Calculated values
Energy above the most stable polymorph in this dataset ... 0.241 eV/atom
Formation enthalpy at 0 K ... 8.15 kcal/mol of atoms
DOS(E_F) ... 4.2 states/eV/f.u.
Total energy ... -3.804 eV per atom
ρ ... 11.68 g/cm³



# 11
## Tb2Dy8Th3 (GGA-PBE)

Data for crystalline Tb2Dy8Th3 at its relaxed geometry.

```
Tb2Dy8Th3
1.0
9.970 -3.928 0.000
9.970 3.928 0.000
-0.006 0.000 5.566
Tb Dy Th
2 8 3
Direct
0.239 0.239 0.498
0.761 0.761 0.502
0.128 0.128 0.999
0.188 0.597 0.499
0.330 0.330 0.999
0.403 0.812 0.501
0.597 0.188 0.499
0.670 0.670 0.001
0.812 0.403 0.501
0.872 0.872 0.001
0.000 0.000 0.500
0.296 0.704 0.000
0.704 0.296 0.000
```

Calculated values
Energy above the most stable polymorph in this dataset ... 0.000 eV/atom
Formation enthalpy at 0 K ... 6.26 kcal/mol of atoms
DOS(E_F) ... 22.1 states/eV/f.u.
Total energy ... -4.985 eV per atom
ρ ... 8.81 g/cm³



# 12
## Nd2GeO5 (GGA-PBE)

Data for crystalline Nd2GeO5 at its relaxed geometry.

```
Nd2GeO5
1.0
7.666 -3.576 0.000
7.666 3.576 0.000
-5.755 0.000 9.335
Nd Ge O
8 4 20
Direct
0.019 0.263 0.837
0.210 0.720 0.536
0.263 0.019 0.337
0.280 0.790 0.964
0.720 0.210 0.036
0.737 0.981 0.663
0.790 0.280 0.464
0.981 0.737 0.163
0.226 0.407 0.693
0.407 0.226 0.193
0.593 0.774 0.807
0.774 0.593 0.307
0.049 0.349 0.673
0.076 0.893 0.105
0.094 0.672 0.680
0.107 0.924 0.395
0.225 0.371 0.060
0.328 0.906 0.820
0.349 0.049 0.173
0.371 0.225 0.560
0.409 0.415 0.863
0.415 0.409 0.363
0.585 0.591 0.637
0.591 0.585 0.137
0.629 0.775 0.440
0.651 0.951 0.827
0.672 0.094 0.180
0.775 0.629 0.940
0.893 0.076 0.605
0.906 0.328 0.320
0.924 0.107 0.895
0.951 0.651 0.327
```

Calculated values
Energy above the most stable polymorph in this dataset ... 0.000 eV/atom
DOS(E_F) ... 0.0 states/eV/f.u.
Total energy ... -7.700 eV per atom
Formation energy from raw total energies ... -2.8319 eV/atom
ρ ... 5.73 g/cm³